Entry from the Alexandria database: a geometry-optimized SrLa2Bi2 structure (PBE-GGA).

polymorph energy (0 for the lowest one): 0.0 meV/atom
Fermi-level density of states: 0.537 states/eV per atom
density: 7.2 g/cm3
formation energy from the elements: -0.8578 eV per atom
SG: No. 127

a = 8.963 Å, b = 8.963 Å, c = 4.467 Å
α = 90.00°, β = 90.00°, γ = 90.00°
Element x y z (fractional)
Sr  0.000  0.000  0.000
Sr  0.500  0.500  0.000
La  0.152  0.348  0.500
La  0.348  0.848  0.500
La  0.652  0.152  0.500
La  0.848  0.652  0.500
Bi  0.149  0.649  0.000
Bi  0.351  0.149  0.000
Bi  0.649  0.851  0.000
Bi  0.851  0.351  0.000